Record 1
The following is a PBE calculation of an optimized crystal structure of LiPd8Au6, from Alexandria.

```
15
Lattice="7.530 0.000 0.000 -3.765 6.521 0.000 0.000 0.000 5.470" Properties=species:S:1:pos:R:3 pbc="T T T"
Li 0.000 0.000 0.000
Pd -1.146 2.213 2.158
Pd -1.275 6.407 2.158
Pd 0.000 4.347 4.061
Pd 1.344 2.100 3.312
Pd 2.421 4.422 2.158
Pd 3.765 2.174 1.409
Pd 5.040 0.114 3.312
Pd 4.911 4.308 3.312
Au -2.296 4.420 0.625
Au 1.085 2.323 0.625
Au 2.554 0.222 4.845
Au 1.211 6.299 0.625
Au 2.680 4.198 4.845
Au 6.061 2.101 4.845
```

Computed properties:
The distance to the lowest polymorph of the same formula is 0.000 eV per atom. The value obtained for the formation energy from the elements is 0.79 eV/f.u.


Record 2
The following is a PBE calculation of an optimized crystal structure of LiPd3Au6, from Alexandria.

```
20
Lattice="7.576 0.000 0.000 0.000 4.749 0.000 -3.307 0.000 9.343" Properties=species:S:1:pos:R:3 pbc="T T T"
Li 0.580 1.187 0.673
Li 3.688 3.561 8.670
Pd -1.711 3.561 6.876
Pd -0.638 1.187 8.127
Pd 0.493 3.561 4.967
Pd 3.776 1.187 4.376
Pd 4.907 3.561 1.216
Pd 5.980 1.187 2.467
Au -0.042 3.561 2.102
Au -1.117 1.187 5.325
Au 2.105 3.561 0.268
Au 1.061 1.187 3.412
Au 0.993 3.561 7.793
Au 2.673 3.561 3.084
Au 1.596 1.187 6.259
Au 3.276 1.187 1.550
Au 3.208 3.561 5.931
Au 2.164 1.187 9.075
Au 5.385 3.561 4.018
Au 4.311 1.187 7.241
```

Computed properties:
The distance to the lowest polymorph of the same formula is 0.000 eV per atom. The value obtained for the formation energy from the elements is -1.76 eV/f.u.